DFT (GGA-PBE) results for a geometry-optimized K2RbNaIn structure.

CIF file:
```
data_K2RbNaIn
_chemical_formula_sum 'K2 Rb1 Na1 In1'
_space_group_name_H-M_alt 'P 4/m m m'
_space_group_IT_number 123
_space_group_name_Hall '-P 4 2'
_cell_length_a 6.877
_cell_length_b 6.877
_cell_length_c 6.000
_cell_angle_alpha 90.00
_cell_angle_beta 90.00
_cell_angle_gamma 90.00
loop_
_atom_site_label
_atom_site_type_symbol
_atom_site_fract_x
_atom_site_fract_y
_atom_site_fract_z
K1 K 0.000 0.500 0.000
Rb1 Rb 0.000 0.000 0.500
Na1 Na 0.500 0.500 0.000
In1 In 0.500 0.500 0.500
```

- ΔE to the lowest computed polymorph (meV/atom) = 74
- V (A^3/atom) = 56.75
- spin magnetization (μB/atom) = 0.0003
- theoretical density (g/cm³) = 1.76
- raw total energy (eV per formula unit) = -6.54
- D(E_F) (states/eV per cell) = 3.82